Run P
This record from the Alexandria database describes a geometry-optimized Bi3Pb structure. The functional is PBE.

The structure belongs to space group Imm2 (No. 44); the cell edges are 3.436, 11.577 and 6.532 Å and the angles 90.00°, 90.00° and 90.00°. The asymmetric unit holds Bi at (0.000, 0.000, 0.000), Bi at (0.000, 0.225, 0.712) and Pb at (0.000, 0.500, 0.959).

Run Q
This record from the Alexandria database describes a geometry-optimized Bi3Pb structure. The functional is PBE.

The structure belongs to space group Pm-3m (No. 221); the cell edges are 5.041, 5.041 and 5.041 Å and the angles 90.00°, 90.00° and 90.00°. The asymmetric unit holds Bi at (0.000, 0.000, 0.500) and Pb at (0.500, 0.500, 0.500).

Result of the stability comparison: run Q is the least stable of them.

Run P
This record from the Alexandria database describes a geometry-optimized Bi4Pb structure. The functional is PBE.

The structure belongs to space group P2_1/c (No. 14); the cell edges are 5.105, 6.982 and 10.874 Å and the angles 90.00°, 99.19° and 90.00°. The asymmetric unit holds Bi at (0.129, 0.123, 0.404), Bi at (0.362, 0.713, 0.760) and Pb at (0.500, 0.000, 0.000).

Run Q
This record from the Alexandria database describes a geometry-optimized Bi4Pb structure. The functional is PBE.

The structure belongs to space group Pm-3m (No. 221); the cell edges are 5.885, 5.885 and 5.885 Å and the angles 90.00°, 90.00° and 90.00°. The asymmetric unit holds Bi at (0.000, 0.000, 0.000), Bi at (0.000, 0.500, 0.500) and Pb at (0.500, 0.500, 0.500).

Result of the stability comparison: run Q is the least stable of them.

Run P
This record from the Alexandria database describes a geometry-optimized Bi4Pb3 structure. The functional is PBE.

The structure belongs to space group P-1 (No. 2); the cell edges are 3.536, 12.660 and 12.660 Å and the angles 119.99°, 90.02° and 90.06°. The asymmetric unit holds Bi at (0.248, 0.186, 0.432), Bi at (0.249, 0.747, 0.315), Bi at (0.250, 0.667, 0.834), Bi at (0.252, 0.067, 0.753), Pb at (0.250, 0.091, 0.133), Pb at (0.250, 0.367, 0.957) and Pb at (0.251, 0.542, 0.409).

Run Q
This record from the Alexandria database describes a geometry-optimized Bi4Pb3 structure. The functional is PBE.

The structure belongs to space group I-43d (No. 220); the cell edges are 9.765, 9.765 and 9.765 Å and the angles 90.00°, 90.00° and 90.00°. The asymmetric unit holds Bi at (0.083, 0.417, 0.583) and Pb at (0.000, 0.250, 0.875).

Result of the stability comparison: run Q is the least stable of them.

Run P
This record from the Alexandria database describes a geometry-optimized Bi3Pb8 structure. The functional is PBE.

The structure belongs to space group R-3 (No. 148, hexagonal axes); the cell edges are 10.9746, 10.9746 and 11.2995 Å and the angles 90.00°, 90.00° and 120.00°. The asymmetric unit holds Bi at (0.0000, 0.5000, 0.0000), Pb at (0.0000, 0.0000, 0.3557) and Pb at (0.0182, 0.7843, 0.9043).

Run Q
This record from the Alexandria database describes a geometry-optimized Bi3Pb8 structure. The functional is PBE.

The structure belongs to space group P-1 (No. 2); the cell edges are 4.364, 6.113 and 14.304 Å and the angles 99.19°, 90.02° and 110.64°. The asymmetric unit holds Bi at (0.000, 0.000, 0.000), Bi at (0.089, 0.180, 0.644), Pb at (0.188, 0.377, 0.279), Pb at (0.280, 0.559, 0.909), Pb at (0.369, 0.735, 0.538) and Pb at (0.454, 0.908, 0.179).

Result of the stability comparison: run P is the least stable of them.

Run P
This record from the Alexandria database describes a geometry-optimized Bi2PdPb6 structure. The functional is PBE.

The structure belongs to space group C2/m (No. 12); the cell edges are 9.266, 17.028 and 3.459 Å and the angles 90.00°, 91.99° and 90.00°. The asymmetric unit holds Bi at (0.000, 0.133, 0.000), Pd at (0.000, 0.000, 0.500), Pb at (0.158, 0.323, 0.255) and Pb at (0.208, 0.500, 0.818).

Run Q
This record from the Alexandria database describes a geometry-optimized Bi2PdPb6 structure. The functional is PBE.

The structure belongs to space group P-62m (No. 189); the cell edges are 8.5848, 8.5848 and 4.2451 Å and the angles 90.00°, 90.00° and 120.00°. The asymmetric unit holds Bi at (0.3333, 0.6667, 0.0000), Pd at (0.0000, 0.0000, 0.5000), Pb at (0.0000, 0.3702, 0.5000) and Pb at (0.0000, 0.7615, 0.0000).

Result of the stability comparison: run P is the least stable of them.

Run P
This record from the Alexandria database describes a geometry-optimized Bi3Pd2Pb structure. The functional is PBE.

The structure belongs to space group R-3m (No. 166, hexagonal axes); the cell edges are 7.1478, 7.1478 and 21.3824 Å and the angles 90.00°, 90.00° and 120.00°. The asymmetric unit holds Bi at (0.0003, 0.5002, 0.2419), Pd at (0.0000, 0.0000, 0.0000), Pd at (0.0000, 0.5000, 0.0000) and Pb at (0.0000, 0.0000, 0.2362).

Run Q
This record from the Alexandria database describes a geometry-optimized Bi3Pd2Pb structure. The functional is PBE.

The structure belongs to space group Pmc2_1 (No. 26); the cell edges are 4.521, 8.955 and 7.497 Å and the angles 90.00°, 90.00° and 90.00°. The asymmetric unit holds Bi at (0.000, 0.105, 0.000), Bi at (0.000, 0.326, 0.373), Bi at (0.500, 0.172, 0.653), Pd at (0.000, 0.361, 0.766), Pd at (0.500, 0.140, 0.258) and Pb at (0.500, 0.411, 0.037).

Result of the stability comparison: run P is the least stable of them.

Run P
This record from the Alexandria database describes a geometry-optimized Bi3PdPb structure. The functional is PBE.

The structure belongs to space group P2_1/m (No. 11); the cell edges are 5.453, 8.694 and 6.947 Å and the angles 90.00°, 112.75° and 90.00°. The asymmetric unit holds Bi at (0.154, 0.250, 0.123), Bi at (0.235, 0.014, 0.756), Pd at (0.411, 0.750, 0.014) and Pb at (0.338, 0.750, 0.403).

Run Q
This record from the Alexandria database describes a geometry-optimized Bi3PdPb structure. The functional is PBE.

The structure belongs to space group C2/m (No. 12); the cell edges are 18.410, 3.527 and 8.982 Å and the angles 90.00°, 91.79° and 90.00°. The asymmetric unit holds Bi at (0.051, 0.000, 0.332), Bi at (0.075, 0.500, 0.914), Bi at (0.194, 0.000, 0.610), Pd at (0.069, 0.500, 0.589) and Pb at (0.203, 0.000, 0.127).

Result of the stability comparison: run P is the least stable of them.

Run P
This record from the Alexandria database describes a geometry-optimized BiPd6Pb3 structure. The functional is PBE.

The structure belongs to space group P2_1/m (No. 11); the cell edges are 9.888, 4.675 and 10.090 Å and the angles 90.00°, 119.06° and 90.00°. The asymmetric unit holds Bi at (0.121, 0.250, 0.451), Pd at (0.033, 0.750, 0.864), Pd at (0.068, 0.250, 0.708), Pd at (0.158, 0.750, 0.189), Pd at (0.307, 0.750, 0.506), Pd at (0.361, 0.250, 0.370), Pd at (0.416, 0.250, 0.931), Pb at (0.198, 0.250, 0.039), Pb at (0.285, 0.750, 0.780) and Pb at (0.483, 0.750, 0.296).

Run Q
This record from the Alexandria database describes a geometry-optimized BiPd6Pb3 structure. The functional is PBE.

The structure belongs to space group Cmc2_1 (No. 36); the cell edges are 10.965, 10.164 and 7.574 Å and the angles 90.00°, 90.00° and 90.00°. The asymmetric unit holds Bi at (0.000, 0.205, 0.000), Pd at (0.000, 0.038, 0.304), Pd at (0.000, 0.203, 0.629), Pd at (0.155, 0.417, 0.677), Pd at (0.227, 0.146, 0.846), Pb at (0.000, 0.410, 0.366) and Pb at (0.213, 0.111, 0.487).

Result of the stability comparison: run Q is the least stable of them.